## Ga3SiTe (PBE)

Data for a relaxed structure of Ga3SiTe.

Values from the calculation:
Uncorrected formation energy (eV/atom): 0.13
Excess energy over the best structure of this formula in the dataset (meV/atom): 0
Energy (eV per atom): -3.40

abc: 4.922 4.922 4.922
angles: 90.00 90.00 90.00
Positions (direct):
1 Ga 0.000 0.000 0.500
2 Ga 0.500 0.000 0.000
3 Ga 0.000 0.500 0.000
4 Si 0.000 0.000 0.000
5 Te 0.500 0.500 0.500